No. 1
# Be2InRu

Be2InRu at its PBEsol-relaxed geometry (meta-GGA SCAN, Alexandria).

Cell and atoms, written as POSCAR:
```
Be2InRu
1.0
3.936 0.000 0.000
0.000 3.936 0.000
0.000 0.000 3.169
Be In Ru
2 1 1
direct
0.000 0.500 0.000 Be
0.500 0.000 0.000 Be
0.000 0.000 0.500 In
0.500 0.500 0.500 Ru
```

Properties
The value obtained for the formation energy is -0.03 eV per atom. Its energy above the lowest structure with this stoichiometry is 0.019 eV per atom.

---

No. 2
# Be2InRu

Be2InRu at its PBEsol-relaxed geometry (meta-GGA SCAN, Alexandria).

Cell and atoms, written as POSCAR:
```
Be2InRu
1.0
0.000 2.972 2.972
2.972 0.000 2.972
2.972 2.972 0.000
Be In Ru
2 1 1
direct
0.000 0.000 0.000 Be
0.250 0.250 0.250 Be
0.750 0.750 0.750 In
0.500 0.500 0.500 Ru
```

Properties
The value obtained for the formation energy is 0.23 eV per atom. Its energy above the lowest structure with this stoichiometry is 0.280 eV per atom.

---

No. 3
# Be2InRu

Be2InRu at its PBEsol-relaxed geometry (meta-GGA SCAN, Alexandria).

Cell and atoms, written as POSCAR:
```
Be2InRu
1.0
0.000 2.900 2.900
2.900 0.000 2.900
2.900 2.900 0.000
Be In Ru
2 1 1
direct
0.250 0.250 0.250 Be
0.750 0.750 0.750 Be
0.000 0.000 0.000 In
0.500 0.500 0.500 Ru
```

Properties
The value obtained for the formation energy is 0.01 eV per atom. Its energy above the lowest structure with this stoichiometry is 0.057 eV per atom.

---

No. 4
# Be2InRu2

Be2InRu2 at its PBEsol-relaxed geometry (meta-GGA SCAN, Alexandria).

Cell and atoms, written as POSCAR:
```
Be2InRu2
1.0
6.279 0.000 0.000
0.000 6.279 0.000
0.000 0.000 3.047
Be In Ru
4 2 4
direct
0.119 0.381 0.000 Be
0.381 0.881 0.000 Be
0.619 0.119 0.000 Be
0.881 0.619 0.000 Be
0.000 0.000 0.000 In
0.500 0.500 0.000 In
0.168 0.668 0.500 Ru
0.332 0.168 0.500 Ru
0.668 0.832 0.500 Ru
0.832 0.332 0.500 Ru
```

Properties
The value obtained for the formation energy is -0.32 eV per atom.

---

No. 5
# BeInRu2

BeInRu2 at its PBEsol-relaxed geometry (meta-GGA SCAN, Alexandria).

Cell and atoms, written as POSCAR:
```
BeInRu2
1.0
4.210 0.000 0.000
0.000 4.210 0.000
0.000 0.000 3.122
Be In Ru
1 1 2
direct
0.000 0.000 0.000 Be
0.500 0.500 0.000 In
0.000 0.500 0.500 Ru
0.500 0.000 0.500 Ru
```

Properties
The value obtained for the formation energy is 0.21 eV per atom. Its energy above the lowest structure with this stoichiometry is 0.052 eV per atom.

---

No. 6
# BeIn2Sb

BeIn2Sb at its PBEsol-relaxed geometry (meta-GGA SCAN, Alexandria).

Cell and atoms, written as POSCAR:
```
BeIn2Sb
1.0
0.000 3.573 3.573
3.573 0.000 3.573
3.573 3.573 0.000
Be In Sb
1 2 1
direct
0.000 0.000 0.000 Be
0.250 0.250 0.250 In
0.750 0.750 0.750 In
0.500 0.500 0.500 Sb
```

Properties
For the uncorrected formation energy, the calculation gives 0.553 eV per atom. Its energy above the lowest structure with this stoichiometry is 0.230 eV per atom.

---

No. 7
# BeInSb4

BeInSb4 at its PBEsol-relaxed geometry (meta-GGA SCAN, Alexandria).

Cell and atoms, written as POSCAR:
```
BeInSb4
1.0
0.000 4.354 4.354
4.354 0.000 4.354
4.354 4.354 0.000
Be In Sb
1 1 4
direct
0.000 0.000 0.000 Be
0.750 0.750 0.750 In
0.375 0.375 0.375 Sb
0.375 0.375 0.876 Sb
0.375 0.876 0.375 Sb
0.876 0.375 0.375 Sb
```

Properties
For the uncorrected formation energy, the calculation gives 0.662 eV per atom.

---

No. 8
# BeIn2Sb

BeIn2Sb at its PBEsol-relaxed geometry (meta-GGA SCAN, Alexandria).

Cell and atoms, written as POSCAR:
```
BeIn2Sb
1.0
3.169 0.000 0.000
0.000 3.169 0.000
0.000 0.000 8.518
Be In Sb
1 2 1
direct
0.000 0.000 0.000 Be
0.500 0.500 0.198 In
0.500 0.500 0.802 In
0.000 0.000 0.500 Sb
```

Properties
For the uncorrected formation energy, the calculation gives 0.368 eV per atom. Its energy above the lowest structure with this stoichiometry is 0.045 eV per atom.

---

No. 9
# BeIn2Sb

BeIn2Sb at its PBEsol-relaxed geometry (meta-GGA SCAN, Alexandria).

Cell and atoms, written as POSCAR:
```
BeIn2Sb
1.0
2.080 -2.407 0.000
2.080 2.407 0.000
0.000 0.000 8.535
Be In Sb
1 2 1
direct
0.000 0.000 0.000 Be
0.500 0.500 0.197 In
0.500 0.500 0.803 In
0.000 0.000 0.500 Sb
```

Properties
For the uncorrected formation energy, the calculation gives 0.362 eV per atom. Its energy above the lowest structure with this stoichiometry is 0.039 eV per atom.

---

No. 10
# BeIn2Sb

BeIn2Sb at its PBEsol-relaxed geometry (meta-GGA SCAN, Alexandria).

Cell and atoms, written as POSCAR:
```
BeIn2Sb
1.0
2.002 -2.672 0.000
2.002 2.672 0.000
0.000 0.000 8.318
Be In Sb
1 2 1
direct
0.000 0.000 0.000 Be
0.000 0.000 0.501 In
0.500 0.500 0.207 In
0.500 0.500 0.819 Sb
```

Properties
For the uncorrected formation energy, the calculation gives 0.323 eV per atom. Its energy above the lowest structure with this stoichiometry is 0.000 eV per atom.

---

No. 11
# BeIn2Sb

BeIn2Sb at its PBEsol-relaxed geometry (meta-GGA SCAN, Alexandria).

Cell and atoms, written as POSCAR:
```
BeIn2Sb
1.0
-2.024 2.024 5.460
2.024 -2.024 5.460
2.024 2.024 -5.460
Be In Sb
1 2 1
direct
0.000 0.000 0.000 Be
0.250 0.750 0.500 In
0.750 0.250 0.500 In
0.500 0.500 0.000 Sb
```

Properties
For the uncorrected formation energy, the calculation gives 0.462 eV per atom. Its energy above the lowest structure with this stoichiometry is 0.139 eV per atom.

---

No. 12
# ScBe4In

ScBe4In at its PBEsol-relaxed geometry (meta-GGA SCAN, Alexandria).

Cell and atoms, written as POSCAR:
```
ScBe4In
1.0
0.000 3.347 3.347
3.347 0.000 3.347
3.347 3.347 0.000
Sc Be In
1 4 1
direct
0.000 0.000 0.000 Sc
0.106 0.631 0.631 Be
0.631 0.106 0.631 Be
0.631 0.631 0.106 Be
0.631 0.631 0.631 Be
0.250 0.250 0.250 In
```

Properties
The value obtained for the formation energy is 0.09 eV per atom.

---

No. 13
# Sc2BeIn

Sc2BeIn at its PBEsol-relaxed geometry (meta-GGA SCAN, Alexandria).

Cell and atoms, written as POSCAR:
```
Sc2BeIn
1.0
-1.655 2.342 4.870
1.655 -2.342 4.870
1.655 2.342 -4.870
Sc Be In
2 1 1
direct
0.000 0.000 0.000 Sc
0.722 0.222 0.500 Sc
0.242 0.742 0.500 Be
0.437 0.437 0.000 In
```

Properties
The value obtained for the formation energy is -0.20 eV per atom. Its energy above the lowest structure with this stoichiometry is 0.136 eV per atom.

---

No. 14
# Sc3BeIn

Sc3BeIn at its PBEsol-relaxed geometry (meta-GGA SCAN, Alexandria).

Cell and atoms, written as POSCAR:
```
Sc3BeIn
1.0
4.773 0.000 0.000
0.000 4.773 0.000
0.000 0.000 4.773
Sc Be In
3 1 1
direct
0.000 0.000 0.500 Sc
0.000 0.500 0.000 Sc
0.500 0.000 0.000 Sc
0.000 0.000 0.000 Be
0.500 0.500 0.500 In
```

Properties
The value obtained for the formation energy is -0.04 eV per atom. Its energy above the lowest structure with this stoichiometry is 0.000 eV per atom.

---

No. 15
# Sc3BeIn

Sc3BeIn at its PBEsol-relaxed geometry (meta-GGA SCAN, Alexandria).

Cell and atoms, written as POSCAR:
```
Sc3BeIn
1.0
5.239 0.000 0.000
0.000 5.239 0.000
0.000 0.000 5.239
Sc Be In
3 1 1
direct
0.000 0.000 0.500 Sc
0.000 0.500 0.000 Sc
0.500 0.000 0.000 Sc
0.500 0.500 0.500 Be
0.000 0.000 0.000 In
```

Properties
The value obtained for the formation energy is 0.82 eV per atom. Its energy above the lowest structure with this stoichiometry is 0.860 eV per atom.